No. 1
A relaxed structure of Li2Tl2Rh4N, computed with GGA-PBE.

Summary:
- Density of states at the Fermi level: 6.86 states/eV/cell
- Space-group type: I4/mmm, No. 139
- Formation energy without anion corrections: -0.098 eV/atom

a = 5.7402 Å, b = 5.7402 Å, c = 5.7402 Å
α = 120.04°, β = 120.04°, γ = 89.93°
Closest atoms and distances in Å follow each position.
Positions (direct):
Li 0.2388 0.2388 0.0000  1 N 2.12
Li 0.7612 0.7612 0.0000  1 N 2.12
Tl 0.2500 0.7500 0.5000  4 Li 2.87, 8 Rh 2.87
Tl 0.7500 0.2500 0.5000  4 Li 2.87, 8 Rh 2.87
Rh 0.2511 0.2511 0.5021  1 N 2.02
Rh 0.2511 0.7489 0.0000  1 N 2.02
Rh 0.7489 0.2511 0.0000  1 N 2.02
Rh 0.7489 0.7489 0.4979  1 N 2.02
N 0.5000 0.5000 0.0000  4 Rh 2.02, 2 Li 2.12

No. 2
A relaxed structure of Li4U3RhN8, computed with GGA-PBE.

Summary:
- Density of states at the Fermi level: 5.24 states/eV/cell
- Space-group type: R-3m, No. 166
- Formation energy without anion corrections: -0.846 eV/atom

a = 6.3857 Å, b = 6.3857 Å, c = 6.3857 Å
α = 63.52°, β = 63.52°, γ = 63.52°
Closest atoms and distances in Å follow each position.
Positions (direct):
Li 0.0000 0.0000 0.0000  6 N 2.35
Li 0.0000 0.5000 0.5000  6 N 2.43-2.47
Li 0.5000 0.0000 0.5000  6 N 2.43-2.47
Li 0.5000 0.5000 0.0000  6 N 2.43-2.47
U 0.0000 0.0000 0.5000  6 N 2.18-2.22
U 0.0000 0.5000 0.0000  6 N 2.18-2.22
U 0.5000 0.0000 0.0000  6 N 2.18-2.22
Rh 0.5000 0.5000 0.5000  6 N 2.30
N 0.2214 0.7454 0.7454  2 U 2.18, 1 Rh 2.30, 1 Li 2.35
N 0.2377 0.2377 0.2377  3 U 2.22, 3 Li 2.43
N 0.2546 0.2546 0.7786  2 U 2.18, 1 Rh 2.30, 1 Li 2.35
N 0.2546 0.7786 0.2546  2 U 2.18, 1 Rh 2.30, 1 Li 2.35
N 0.7454 0.2214 0.7454  2 U 2.18, 1 Rh 2.30, 1 Li 2.35
N 0.7454 0.7454 0.2214  2 U 2.18, 1 Rh 2.30, 1 Li 2.35
N 0.7623 0.7623 0.7623  3 U 2.22, 3 Li 2.43
N 0.7786 0.2546 0.2546  2 U 2.18, 1 Rh 2.30, 1 Li 2.35

No. 3
A relaxed structure of LiRhW2N, computed with GGA-PBE.

Summary:
- Density of states at the Fermi level: 4.15 states/eV/cell
- Space-group type: P4/mmm, No. 123
- Formation energy without anion corrections: 0.155 eV/atom

a = 4.0365 Å, b = 4.0365 Å, c = 4.2258 Å
α = 90.00°, β = 90.00°, γ = 90.00°
Closest atoms and distances in Å follow each position.
Positions (direct):
Li 0.0000 0.0000 0.0000  4 Rh 2.85, 8 W 2.92
Rh 0.5000 0.5000 0.0000  2 N 2.11
W 0.0000 0.5000 0.5000  2 N 2.02
W 0.5000 0.0000 0.5000  2 N 2.02
N 0.5000 0.5000 0.5000  4 W 2.02, 2 Rh 2.11

No. 4
A relaxed structure of Li2ZnRhN, computed with GGA-PBE.

Summary:
- Density of states at the Fermi level: 2.99 states/eV/cell
- Space-group type: P4/mmm, No. 123
- Formation energy without anion corrections: -0.235 eV/atom

a = 4.1189 Å, b = 4.1189 Å, c = 3.7923 Å
α = 90.00°, β = 90.00°, γ = 90.00°
Closest atoms and distances in Å follow each position.
Positions (direct):
Li 0.0000 0.5000 0.0000  2 N 2.06
Li 0.5000 0.0000 0.0000  2 N 2.06
Zn 0.0000 0.0000 0.5000  8 Li 2.80, 4 Rh 2.91
Rh 0.5000 0.5000 0.5000  2 N 1.90
N 0.5000 0.5000 0.0000  2 Rh 1.90, 4 Li 2.06

No. 5
A relaxed structure of Li15RuN6, computed with GGA-PBE.

Summary:
- Density of states at the Fermi level: 7.14 states/eV/cell
- Space-group type: Im-3m, No. 229
- Formation energy without anion corrections: -0.235 eV/atom

a = 7.0590 Å, b = 7.0590 Å, c = 7.0590 Å
α = 109.47°, β = 109.47°, γ = 109.47°
Closest atoms and distances in Å follow each position.
Positions (direct):
Li 0.0000 0.2330 0.7670  2 N 1.92
Li 0.0000 0.5000 0.5000  2 N 1.89
Li 0.0000 0.7670 0.2330  2 N 1.92
Li 0.2330 0.0000 0.7670  2 N 1.92
Li 0.2330 0.2330 0.4660  2 N 1.92
Li 0.2330 0.4660 0.2330  2 N 1.92
Li 0.2330 0.7670 0.0000  2 N 1.92
Li 0.4660 0.2330 0.2330  2 N 1.92
Li 0.5000 0.0000 0.5000  2 N 1.89
Li 0.5000 0.5000 0.0000  2 N 1.89
Li 0.5340 0.7670 0.7670  2 N 1.92
Li 0.7670 0.0000 0.2330  2 N 1.92
Li 0.7670 0.2330 0.0000  2 N 1.92
Li 0.7670 0.5340 0.7670  2 N 1.92
Li 0.7670 0.7670 0.5340  2 N 1.92
Ru 0.0000 0.0000 0.0000  6 N 2.18
N 0.0000 0.2677 0.2677  5 Li 1.89-1.92
N 0.0000 0.7323 0.7323  5 Li 1.89-1.92
N 0.2677 0.0000 0.2677  5 Li 1.89-1.92
N 0.2677 0.2677 0.0000  5 Li 1.89-1.92
N 0.7323 0.0000 0.7323  5 Li 1.89-1.92
N 0.7323 0.7323 0.0000  5 Li 1.89-1.92

No. 6
A relaxed structure of LiRuN2, computed with GGA-PBE.

Summary:
- Offset from the most stable computed form: 0.019 eV per atom
- Density of states at the Fermi level: 4.99 states/eV/cell
- Space-group type: Pna2_1, No. 33
- Formation energy without anion corrections: 0.023 eV/atom

a = 5.6219 Å, b = 6.6162 Å, c = 5.3339 Å
α = 90.00°, β = 90.00°, γ = 90.00°
Closest atoms and distances in Å follow each position.
Positions (direct):
Li 0.0812 0.1228 0.0000  4 N 2.12-2.17
Li 0.4188 0.6228 0.5000  4 N 2.12-2.17
Li 0.5812 0.3772 0.0000  4 N 2.12-2.17
Li 0.9188 0.8772 0.5000  4 N 2.12-2.17
Ru 0.0743 0.6266 0.0054  4 N 1.88-1.90
Ru 0.4257 0.1266 0.5054  4 N 1.88-1.90
Ru 0.5743 0.8734 0.0054  4 N 1.88-1.90
Ru 0.9257 0.3734 0.5054  4 N 1.88-1.90
N 0.0610 0.6037 0.3570  2 Ru 1.88
N 0.1049 0.1446 0.4042  2 Ru 1.89-1.90
N 0.3951 0.6446 0.9042  2 Ru 1.89-1.90
N 0.4390 0.1037 0.8570  2 Ru 1.88
N 0.5610 0.8963 0.3570  2 Ru 1.88
N 0.6049 0.3554 0.4042  2 Ru 1.89-1.90
N 0.8951 0.8554 0.9042  2 Ru 1.89-1.90
N 0.9390 0.3963 0.8570  2 Ru 1.88

No. 7
A relaxed structure of LiRu3N, computed with GGA-PBE.

Summary:
- Offset from the most stable computed form: 2.045 eV per atom
- Density of states at the Fermi level: 4.77 states/eV/cell
- Space-group type: Pm-3m, No. 221
- Formation energy without anion corrections: 2.251 eV/atom

a = 4.0506 Å, b = 4.0506 Å, c = 4.0506 Å
α = 90.00°, β = 90.00°, γ = 90.00°
Closest atoms and distances in Å follow each position.
Positions (direct):
Li 0.0000 0.0000 0.0000  6 Ru 2.03
Ru 0.0000 0.0000 0.5000  2 Li 2.03
Ru 0.0000 0.5000 0.0000  2 Li 2.03
Ru 0.5000 0.0000 0.0000  2 Li 2.03
N 0.5000 0.5000 0.5000  12 Ru 2.86

No. 8
A relaxed structure of Li3RuN, computed with GGA-PBE.

Summary:
- Offset from the most stable computed form: 0.000 eV per atom
- Density of states at the Fermi level: 1.92 states/eV/cell
- Space-group type: Pm-3m, No. 221
- Formation energy without anion corrections: 0.475 eV/atom

a = 3.8606 Å, b = 3.8606 Å, c = 3.8606 Å
α = 90.00°, β = 90.00°, γ = 90.00°
Closest atoms and distances in Å follow each position.
Positions (direct):
Li 0.0000 0.0000 0.5000  2 N 1.93
Li 0.0000 0.5000 0.0000  2 N 1.93
Li 0.5000 0.0000 0.0000  2 N 1.93
Ru 0.5000 0.5000 0.5000  12 Li 2.73
N 0.0000 0.0000 0.0000  6 Li 1.93

No. 9
A relaxed structure of LiRuN2, computed with GGA-PBE.

Summary:
- Offset from the most stable computed form: 0.819 eV per atom
- Density of states at the Fermi level: 8.90 states/eV/cell
- Space-group type: R-3m, No. 166
- Formation energy without anion corrections: 0.822 eV/atom

a = 2.8624 Å, b = 2.8624 Å, c = 19.3853 Å
α = 90.00°, β = 90.00°, γ = 120.00°
Closest atoms and distances in Å follow each position.
Positions (direct):
Li 0.0000 0.0000 0.0000  6 N 2.19
Li 0.3333 0.6667 0.6667  6 N 2.19
Li 0.6667 0.3333 0.3333  6 N 2.19
Ru 0.0000 0.0000 0.5000  2 N 1.80
Ru 0.3333 0.6667 0.1667  2 N 1.80
Ru 0.6667 0.3333 0.8333  2 N 1.80
N 0.0000 0.0000 0.4072  1 Ru 1.80
N 0.0000 0.0000 0.5928  1 Ru 1.80
N 0.3333 0.6667 0.0738  1 Ru 1.80
N 0.3333 0.6667 0.2595  1 Ru 1.80
N 0.6667 0.3333 0.7405  1 Ru 1.80
N 0.6667 0.3333 0.9262  1 Ru 1.80

No. 10
A relaxed structure of LiRu2N3, computed with GGA-PBE.

Summary:
- Density of states at the Fermi level: 6.69 states/eV/cell
- Space-group type: P2_1, No. 4
- Formation energy without anion corrections: 0.153 eV/atom

a = 5.5069 Å, b = 5.3278 Å, c = 5.5903 Å
α = 90.00°, β = 118.87°, γ = 90.00°
Closest atoms and distances in Å follow each position.
Positions (direct):
Li 0.0178 0.0000 0.3454  4 N 2.08-2.20
Li 0.9822 0.5000 0.6546  4 N 2.08-2.20
Ru 0.2964 0.4773 0.2986  4 N 1.85-1.99
Ru 0.3766 0.0536 0.0192  4 N 1.91-2.01
Ru 0.6234 0.5536 0.9808  4 N 1.91-2.01
Ru 0.7036 0.9773 0.7014  4 N 1.85-1.99
N 0.0208 0.0977 0.7072  2 Ru 1.85-1.91
N 0.3183 0.6807 0.0173  3 Ru 1.91-2.01
N 0.4044 0.1188 0.3766  3 Ru 1.92-1.99, 1 Li 2.15
N 0.5956 0.6188 0.6234  3 Ru 1.92-1.99, 1 Li 2.15
N 0.6817 0.1807 0.9827  3 Ru 1.91-2.01
N 0.9792 0.5977 0.2928  2 Ru 1.85-1.91

No. 11
A relaxed structure of LiRuN2, computed with GGA-PBE.

Summary:
- Offset from the most stable computed form: 0.000 eV per atom
- Density of states at the Fermi level: 4.90 states/eV/cell
- Space-group type: I-42d, No. 122
- Formation energy without anion corrections: 0.003 eV/atom

a = 4.6705 Å, b = 4.6705 Å, c = 8.9588 Å
α = 90.00°, β = 90.00°, γ = 90.00°
Closest atoms and distances in Å follow each position.
Positions (direct):
Li 0.0000 0.0000 0.0000  4 N 2.12
Li 0.0000 0.5000 0.2500  4 N 2.12
Li 0.5000 0.0000 0.7500  4 N 2.12
Li 0.5000 0.5000 0.5000  4 N 2.12
Ru 0.0000 0.0000 0.5000  4 N 1.89
Ru 0.0000 0.5000 0.7500  4 N 1.89
Ru 0.5000 0.0000 0.2500  4 N 1.89
Ru 0.5000 0.5000 0.0000  4 N 1.89
N 0.2072 0.2500 0.6250  2 Ru 1.89
N 0.2500 0.7072 0.8750  2 Ru 1.89
N 0.2500 0.7928 0.3750  2 Ru 1.89
N 0.2928 0.2500 0.1250  2 Ru 1.89
N 0.7072 0.7500 0.1250  2 Ru 1.89
N 0.7500 0.2072 0.3750  2 Ru 1.89
N 0.7500 0.2928 0.8750  2 Ru 1.89
N 0.7928 0.7500 0.6250  2 Ru 1.89

No. 12
A relaxed structure of Li3RuN2, computed with GGA-PBE.

Summary:
- Density of states at the Fermi level: 11.89 states/eV/cell
- Space-group type: I4_1/amd, No. 141
- Formation energy without anion corrections: 0.221 eV/atom

a = 8.8128 Å, b = 8.8128 Å, c = 8.8128 Å
α = 138.78°, β = 138.78°, γ = 59.70°
Closest atoms and distances in Å follow each position.
Positions (direct):
Li 0.0776 0.3276 0.1552  2 N 1.95
Li 0.0776 0.9224 0.7500  2 N 1.95
Li 0.2682 0.5182 0.7500  2 N 2.06
Li 0.3276 0.0776 0.6552  2 N 1.95
Li 0.3276 0.6724 0.2500  2 N 1.95
Li 0.4818 0.7318 0.7500  2 N 2.06
Li 0.5182 0.2682 0.2500  2 N 2.06
Li 0.6724 0.3276 0.7500  2 N 1.95
Li 0.6724 0.9224 0.3448  2 N 1.95
Li 0.7318 0.4818 0.2500  2 N 2.06
Li 0.9224 0.0776 0.2500  2 N 1.95
Li 0.9224 0.6724 0.8448  2 N 1.95
Ru 0.0154 0.2654 0.7500  2 N 2.02
Ru 0.2654 0.0154 0.2500  2 N 2.02
Ru 0.7346 0.9846 0.7500  2 N 2.02
Ru 0.9846 0.7346 0.2500  2 N 2.02
N 0.0339 0.3904 0.6435  1 N 1.32
N 0.2469 0.3904 0.8565  1 N 1.32
N 0.3904 0.0339 0.1435  1 N 1.32
N 0.3904 0.2469 0.3565  1 N 1.32
N 0.6096 0.7531 0.6435  1 N 1.32
N 0.6096 0.9661 0.8565  1 N 1.32
N 0.7531 0.6096 0.1435  1 N 1.32
N 0.9661 0.6096 0.3565  1 N 1.32